A relaxed structure of TbTeAu, computed with GGA-PBE.

The calculation puts the total energy at -4.59 eV/atom. Its spin magnetization is 0.000 μB per atom. The density of states at the Fermi level is 0.300 states/eV/cell. The value obtained for the volume is 83.2 Å³ per cell. The crystal system is trigonal. The density comes out at 9.6 Mg/m³.

Unit cell a=4.927 b=4.416 c=4.416 alpha=120.00 beta=90.00 gamma=90.00
Fractional coordinates of all 3 atoms:
Tb 0.300 0.333 0.667
Au 0.013 0.000 0.000
Te 0.686 0.667 0.333

=====

A relaxed structure of Tb3Te2Au, computed with GGA-PBE.

The calculation puts the total energy at -5.07 eV/atom. Its spin magnetization is 0.000 μB per atom. The density of states at the Fermi level is 15.448 states/eV/cell. The value obtained for the volume is 692.4 Å³ per cell. The crystal system is orthorhombic. The density comes out at 8.9 Mg/m³.

Unit cell a=7.538 b=7.538 c=13.607 alpha=100.78 beta=100.78 gamma=108.93
Fractional coordinates of all 24 atoms:
Tb 0.087 0.068 0.674
Au 0.166 0.666 0.333
Au 0.084 0.084 0.167
Tb 0.394 0.413 0.326
Te 0.747 0.747 0.494
Tb 0.856 0.337 0.174
Au 0.916 0.916 0.833
Tb 0.021 0.521 0.500
Au 0.334 0.834 0.667
Tb 0.771 0.771 0.000
Tb 0.229 0.229 0.000
Te 0.253 0.253 0.506
Tb 0.663 0.144 0.826
Te 0.670 0.170 0.340
Te 0.420 0.420 0.840
Te 0.503 0.003 0.006
Tb 0.932 0.913 0.326
Te 0.997 0.497 0.994
Tb 0.163 0.682 0.826
Te 0.830 0.330 0.660
Tb 0.479 0.979 0.500
Tb 0.587 0.606 0.674
Tb 0.318 0.837 0.174
Te 0.580 0.580 0.160

=====

A relaxed structure of TbTe2Au, computed with GGA-PBE.

The calculation puts the total energy at -4.44 eV/atom. Its spin magnetization is 0.000 μB per atom. The value obtained for the volume is 137.3 Å³ per cell. The crystal system is triclinic. The density comes out at 7.4 Mg/m³.

Unit cell a=4.576 b=4.571 c=8.843 alpha=58.97 beta=74.89 gamma=60.04
Fractional coordinates of all 4 atoms:
Te 0.508 0.218 0.108
Au 0.175 0.005 0.987
Te 0.179 0.399 0.590
Tb 0.843 0.863 0.794

=====

A relaxed structure of TbTe3Au2, computed with GGA-PBE.

The calculation puts the total energy at -4.02 eV/atom. Its spin magnetization is 0.000 μB per atom. The density of states at the Fermi level is 6.056 states/eV/cell. The value obtained for the volume is 359.3 Å³ per cell. The crystal system is monoclinic. The density comes out at 8.6 Mg/m³.

Unit cell a=4.249 b=7.738 c=11.232 alpha=97.60 beta=100.90 gamma=90.00
Fractional coordinates of all 12 atoms:
Au 0.705 0.440 0.409
Te 0.248 0.208 0.497
Te 0.752 0.792 0.503
Te 0.919 0.190 0.838
Au 0.295 0.560 0.591
Te 0.581 0.373 0.162
Te 0.419 0.627 0.838
Au 0.950 0.851 0.900
Tb 0.649 0.044 0.299
Au 0.050 0.149 0.100
Tb 0.351 0.956 0.701
Te 0.081 0.810 0.162

=====

A relaxed structure of Tb4Te5Au, computed with GGA-PBE.

The calculation puts the total energy at -4.83 eV/atom. Its spin magnetization is 0.002 μB per atom. The density of states at the Fermi level is 6.806 states/eV/cell. The value obtained for the volume is 716.2 Å³ per cell. The crystal system is orthorhombic. The density comes out at 6.8 Mg/m³.

Unit cell a=7.659 b=9.323 c=10.031 alpha=90.00 beta=90.00 gamma=90.00
Fractional coordinates of all 20 atoms:
Te 0.741 0.773 0.299
Tb 0.973 0.500 0.729
Te 0.190 0.000 0.500
Te 0.259 0.273 0.799
Tb 0.432 0.252 0.500
Te 0.741 0.227 0.701
Te 0.259 0.273 0.201
Te 0.810 0.500 0.000
Te 0.259 0.727 0.201
Tb 0.568 0.248 0.000
Tb 0.027 0.000 0.229
Tb 0.027 0.000 0.771
Tb 0.432 0.748 0.500
Te 0.259 0.727 0.799
Tb 0.973 0.500 0.271
Te 0.741 0.773 0.701
Tb 0.568 0.752 0.000
Au 0.796 0.000 0.000
Au 0.204 0.500 0.500
Te 0.741 0.227 0.299

=====

A relaxed structure of Tb3Te6Au, computed with GGA-PBE.

The calculation puts the total energy at -4.58 eV/atom. Its spin magnetization is 0.000 μB per atom. The density of states at the Fermi level is 9.379 states/eV/cell. The value obtained for the volume is 639.3 Å³ per cell. The crystal system is orthorhombic. The density comes out at 7.5 Mg/m³.

Unit cell a=7.511 b=9.255 c=9.255 alpha=96.41 beta=90.00 gamma=90.00
Fractional coordinates of all 20 atoms:
Tb 0.978 0.730 0.917
Te 0.711 0.915 0.457
Tb 0.978 0.083 0.270
Tb 0.373 0.396 0.604
Tb 0.478 0.917 0.730
Te 0.180 0.036 0.964
Te 0.211 0.457 0.915
Te 0.678 0.298 0.381
Au 0.034 0.231 0.769
Te 0.178 0.702 0.619
Tb 0.478 0.270 0.083
Tb 0.873 0.604 0.396
Te 0.711 0.543 0.085
Au 0.534 0.769 0.231
Te 0.211 0.085 0.543
Te 0.165 0.779 0.221
Te 0.178 0.381 0.298
Te 0.680 0.964 0.036
Te 0.678 0.619 0.702
Te 0.665 0.221 0.779